[1]
VASP calculation (GGA-PBEsol) on a relaxed structure of DyAl3Cl12.

abc: 10.577 10.577 15.807
angles: 90.00 90.00 120.00
Positions (direct):
Dy: 0.017 0.508 0.000
Dy: 0.492 0.508 0.333
Dy: 0.492 0.983 0.667
Al: 0.272 0.545 0.167
Al: 0.272 0.728 0.833
Al: 0.361 0.131 0.268
Al: 0.361 0.230 0.732
Al: 0.455 0.728 0.500
Al: 0.770 0.131 0.065
Al: 0.770 0.639 0.935
Al: 0.869 0.230 0.602
Al: 0.869 0.639 0.398
Cl: 0.161 0.009 0.206
Cl: 0.161 0.152 0.794
Cl: 0.168 0.496 0.853
Cl: 0.168 0.672 0.147
Cl: 0.207 0.414 0.053
Cl: 0.207 0.414 0.280
Cl: 0.207 0.793 0.720
Cl: 0.207 0.793 0.947
Cl: 0.328 0.496 0.480
Cl: 0.328 0.832 0.520
Cl: 0.338 0.111 0.612
Cl: 0.338 0.227 0.388
Cl: 0.486 0.030 0.290
Cl: 0.486 0.456 0.710
Cl: 0.495 0.151 0.796
Cl: 0.495 0.345 0.204
Cl: 0.504 0.672 0.186
Cl: 0.504 0.832 0.814
Cl: 0.544 0.030 0.043
Cl: 0.544 0.514 0.957
Cl: 0.586 0.793 0.387
Cl: 0.586 0.793 0.613
Cl: 0.655 0.151 0.537
Cl: 0.655 0.505 0.463
Cl: 0.773 0.111 0.721
Cl: 0.773 0.662 0.279
Cl: 0.848 0.009 0.127
Cl: 0.848 0.839 0.873
Cl: 0.849 0.345 0.129
Cl: 0.849 0.505 0.871
Cl: 0.889 0.227 0.946
Cl: 0.889 0.662 0.054
Cl: 0.970 0.456 0.624
Cl: 0.970 0.514 0.376
Cl: 0.991 0.152 0.540
Cl: 0.991 0.839 0.460



[2]
VASP calculation (GGA-PBEsol) on a relaxed structure of InTc3S.

abc: 4.328 4.328 4.328
angles: 90.00 90.00 90.00
Positions (direct):
In: 0.000 0.000 0.000
Tc: 0.000 0.500 0.500
Tc: 0.500 0.000 0.500
Tc: 0.500 0.500 0.000
S: 0.500 0.500 0.500



[3]
VASP calculation (GGA-PBEsol) on a relaxed structure of Zr2TaTe.

abc: 3.614 3.614 6.318
angles: 90.00 90.00 90.00
Positions (direct):
Zr: 0.000 0.000 0.242
Zr: 0.000 0.000 0.758
Ta: 0.500 0.500 0.000
Te: 0.500 0.500 0.500



[4]
VASP calculation (GGA-PBEsol) on a relaxed structure of ZrBe2Sb.

abc: 3.096 4.013 5.257
angles: 90.00 90.00 90.00
Positions (direct):
Zr: 0.000 0.000 0.000
Be: 0.500 0.000 0.427
Be: 0.500 0.500 0.227
Sb: 0.500 0.500 0.717



| no. | magnetic moment (Bohr magnetons per cell) | formation energy from raw total energies (meV per atom) |
| --- | --- | --- |
| 1 | 0.00 | -1686 |
| 2 | 1.25 | 302 |
| 3 | 0.00 | -353 |
| 4 | 0.00 | 43 |